<A>
Entry from Alexandria via LeMat-Bulk: an optimized crystal structure of VAsN2F (GGA+U).

Cell: 3.8360 3.8360 3.9257 Å, 90.00 90.00 90.00°
Space group P4/mmm (No. 123)
Symmetry-distinct sites (fractional):
V1 0.0000 0.0000 0.0000
As1 0.5000 0.5000 0.5000
N1 0.0000 0.5000 0.5000
F1 0.5000 0.5000 0.0000

---

<B>
Entry from Alexandria via LeMat-Bulk: an optimized crystal structure of VAsN2F (GGA+U).

Cell: 3.9215 3.9215 3.7769 Å, 90.00 90.00 90.00°
Space group P4/mmm (No. 123)
Symmetry-distinct sites (fractional):
V1 0.0000 0.0000 0.0000
As1 0.5000 0.5000 0.5000
N1 0.0000 0.5000 0.0000
F1 0.0000 0.0000 0.5000

---

<B> comes first in stability; the runner-up is 34.0 kJ/mol of atoms higher.